Arrangement 1

A relaxed structure of BeSi3Ge, computed with PBE.

Lattice parameters (Å, degrees): 4.3357 4.3357 4.3357 90.00 90.00 90.00
Space group Pm-3m (No. 221)
Inequivalent atoms, fractional coordinates:
Be  0.0000  0.0000  0.0000 [1 per cell]
Si  0.0000  0.0000  0.5000 [3 per cell]
Ge  0.5000  0.5000  0.5000 [1 per cell]

---

Arrangement 2

A relaxed structure of BeSi3Ge, computed with PBE.

Lattice parameters (Å, degrees): 4.7076 4.7076 4.7076 90.00 90.00 90.00
Space group Pm-3m (No. 221)
Inequivalent atoms, fractional coordinates:
Be  0.0000  0.0000  0.0000 [1 per cell]
Si  0.0000  0.5000  0.5000 [3 per cell]
Ge  0.5000  0.5000  0.5000 [1 per cell]

---

Verdict on stability: arrangement 1 comes out on top.

---

Arrangement 1

A relaxed structure of BeSiGe2, computed with PBE.

Lattice parameters (Å, degrees): 5.5798 5.5798 10.2089 90.00 90.00 90.00
Space group I-42d (No. 122)
Inequivalent atoms, fractional coordinates:
Be  0.0000  0.0000  0.0000 [4 per cell]
Si  0.0000  0.0000  0.5000 [4 per cell]
Ge  0.2295  0.2500  0.1250 [8 per cell]

---

Arrangement 2

A relaxed structure of BeSiGe2, computed with PBE.

Lattice parameters (Å, degrees): 6.3033 6.3033 6.3033 90.00 90.00 90.00
Space group Fm-3m (No. 225)
Inequivalent atoms, fractional coordinates:
Be  0.0000  0.0000  0.0000 [4 per cell]
Si  0.0000  0.0000  0.5000 [4 per cell]
Ge  0.2500  0.2500  0.2500 [8 per cell]

---

Verdict on stability: arrangement 1 comes out on top.

---

Arrangement 1

A relaxed structure of Sm2BeGe3, computed with PBE.

Lattice parameters (Å, degrees): 4.0838 4.1883 7.1030 90.00 90.00 90.00
Space group Pmm2 (No. 25)
Inequivalent atoms, fractional coordinates:
Sm  0.0000  0.0000  0.0000 [1 per cell]
Sm  0.5000  0.0000  0.4989 [1 per cell]
Be  0.5000  0.5000  0.1769 [1 per cell]
Ge  0.0000  0.5000  0.3087 [1 per cell]
Ge  0.0000  0.5000  0.6598 [1 per cell]
Ge  0.5000  0.5000  0.8604 [1 per cell]

---

Arrangement 2

A relaxed structure of Sm2BeGe3, computed with PBE.

Lattice parameters (Å, degrees): 8.2097 8.3114 14.1283 90.00 90.00 90.00
Space group Fmmm (No. 69)
Inequivalent atoms, fractional coordinates:
Sm  0.0000  0.2433  0.0000 [8 per cell]
Sm  0.2500  0.2500  0.2500 [8 per cell]
Be  0.0000  0.0000  0.3334 [8 per cell]
Ge  0.0000  0.0000  0.1751 [8 per cell]
Ge  0.2313  0.0000  0.4125 [16 per cell]

---

Verdict on stability: arrangement 2 comes out on top.